Record 1
The following is a PBE-GGA calculation of an optimized crystal structure of YMgTa3, from Alexandria via LeMat-Bulk.

## Properties
The energy above the lowest structure with this stoichiometry is 0.601 eV per atom. Its symmetry is No. 221.

The structure in extended XYZ format:
```
5
Lattice="-1.910 -3.618 2.840 4.589 -1.289 1.444 -0.314 3.170 3.828" Properties=species:S:1:pos:R:3 pbc="T T T"
Y 0.000 0.000 0.000
Mg 1.183 -0.869 4.056
Ta 2.294 -0.644 0.722
Ta -0.157 1.585 1.914
Ta -0.955 -1.809 1.420
```


Record 2
The following is a PBE-GGA calculation of an optimized crystal structure of YMg2Ta, from Alexandria via LeMat-Bulk.

## Properties
The energy above the lowest structure with this stoichiometry is 0.528 eV per atom. Its symmetry is No. 122.

The structure in extended XYZ format:
```
8
Lattice="8.202 0.000 0.000 0.000 8.202 0.000 4.101 4.101 2.863" Properties=species:S:1:pos:R:3 pbc="T T T"
Y 4.101 4.101 0.000
Y 4.101 8.202 1.431
Mg 6.355 2.050 0.716
Mg 1.846 6.151 0.716
Mg 6.151 5.947 2.147
Mg 10.252 10.456 2.147
Ta 0.000 0.000 0.000
Ta 8.202 4.101 1.431
```


Record 3
The following is a PBE-GGA calculation of an optimized crystal structure of YMgTa2, from Alexandria via LeMat-Bulk.

## Properties
Its symmetry is No. 139.

The structure in extended XYZ format:
```
4
Lattice="5.614 -0.002 0.000 2.426 5.063 0.000 -4.020 -2.530 2.992" Properties=species:S:1:pos:R:3 pbc="T T T"
Mg 2.807 -0.001 1.496
Ta 0.000 0.000 0.000
Ta 4.020 2.530 0.000
Y 1.213 2.531 1.496
```


Record 4
The following is a PBE-GGA calculation of an optimized crystal structure of YMgTa, from Alexandria via LeMat-Bulk.

## Properties
The energy above the lowest structure with this stoichiometry is 0.128 eV per atom. Its symmetry is No. 44.

The structure in extended XYZ format:
```
3
Lattice="5.739 0.007 0.000 3.266 4.719 0.000 -4.111 -3.110 2.524" Properties=species:S:1:pos:R:3 pbc="T T T"
Mg 8.894 4.668 0.000
Ta 3.088 1.621 0.000
Y 6.028 3.164 0.000
```


Record 5
The following is a PBE-GGA calculation of an optimized crystal structure of YMg2Ta, from Alexandria via LeMat-Bulk.

## Properties
The energy above the lowest structure with this stoichiometry is 0.170 eV per atom. Its symmetry is No. 139.

The structure in extended XYZ format:
```
4
Lattice="5.503 -0.010 0.000 1.844 5.185 0.000 -3.674 -2.588 3.177" Properties=species:S:1:pos:R:3 pbc="T T T"
Mg 0.000 0.000 0.000
Mg 3.674 2.588 0.000
Ta 0.922 2.593 1.589
Y 2.752 -0.005 1.589
```


Record 6
The following is a PBE-GGA calculation of an optimized crystal structure of YMg2ZrTa, from Alexandria via LeMat-Bulk.

## Properties
Its symmetry is No. 123.

The structure in extended XYZ format:
```
5
Lattice="5.194 0.000 0.000 0.000 4.945 0.000 0.000 0.000 5.194" Properties=species:S:1:pos:R:3 pbc="T T T"
Y 0.000 0.000 0.000
Mg 0.000 0.000 2.597
Mg 2.597 0.000 0.000
Zr 2.597 2.472 2.597
Ta 0.000 2.472 0.000
```


Record 7
The following is a PBE-GGA calculation of an optimized crystal structure of YMgZrTa2, from Alexandria via LeMat-Bulk.

## Properties
Its symmetry is No. 123.

The structure in extended XYZ format:
```
5
Lattice="-0.312 2.698 -4.148 -4.995 1.472 1.334 1.805 3.932 2.422" Properties=species:S:1:pos:R:3 pbc="T T T"
Y -1.751 4.051 -0.197
Mg -2.498 0.736 0.667
Zr 0.000 0.000 0.000
Ta 0.903 1.966 1.211
Ta -0.156 1.349 -2.074
```


Record 8
The following is a PBE-GGA calculation of an optimized crystal structure of MgTa2Zn, from Alexandria via LeMat-Bulk.

## Properties
The energy above the lowest structure with this stoichiometry is 0.114 eV per atom. Its symmetry is No. 123.

The structure in extended XYZ format:
```
4
Lattice="2.849 0.000 0.000 0.000 2.849 0.000 0.000 0.000 8.708" Properties=species:S:1:pos:R:3 pbc="T T T"
Mg 1.425 1.425 6.531
Ta 0.000 0.000 0.210
Ta 0.000 0.000 4.144
Zn 1.425 1.425 2.177
```


Record 9
The following is a PBE-GGA calculation of an optimized crystal structure of MgTa2Zn, from Alexandria via LeMat-Bulk.

## Properties
The energy above the lowest structure with this stoichiometry is 0.148 eV per atom. Its symmetry is No. 10.

The structure in extended XYZ format:
```
4
Lattice="-0.169 -3.002 -3.796 -0.447 -2.192 1.753 -5.321 -0.204 0.399" Properties=species:S:1:pos:R:3 pbc="T T T"
Mg -4.411 -3.298 -0.284
Ta -0.094 -0.111 0.092
Ta -2.790 -1.087 0.984
Zn -1.527 -2.100 -1.360
```


Record 10
The following is a PBE-GGA calculation of an optimized crystal structure of MgTa2Zn, from Alexandria via LeMat-Bulk.

## Properties
The energy above the lowest structure with this stoichiometry is 0.138 eV per atom. Its symmetry is No. 47.

The structure in extended XYZ format:
```
4
Lattice="-3.280 -0.926 1.738 0.727 -3.918 -0.715 2.182 -0.316 3.951" Properties=species:S:1:pos:R:3 pbc="T T T"
Mg 1.455 -2.117 1.618
Ta 0.000 0.000 0.000
Ta -1.277 -2.422 0.511
Zn -0.549 -0.621 2.844
```


Record 11
The following is a PBE-GGA calculation of an optimized crystal structure of MgTaZn, from Alexandria via LeMat-Bulk.

## Properties
The energy above the lowest structure with this stoichiometry is 0.000 eV per atom. Its symmetry is No. 107.

The structure in extended XYZ format:
```
3
Lattice="6.408 0.008 -0.009 5.734 2.859 0.002 0.673 0.148 2.847" Properties=species:S:1:pos:R:3 pbc="T T T"
Mg 0.752 0.166 2.828
Ta 4.390 1.029 1.922
Zn 8.347 1.967 0.938
```


Record 12
The following is a PBE-GGA calculation of an optimized crystal structure of MgTaZn2, from Alexandria via LeMat-Bulk.

## Properties
Its symmetry is No. 25.

The structure in extended XYZ format:
```
4
Lattice="-1.693 2.349 0.081 -3.141 -2.313 1.415 1.665 1.017 5.357" Properties=species:S:1:pos:R:3 pbc="T T T"
Mg 0.814 0.497 2.620
Ta -1.137 0.800 4.867
Zn 1.635 0.999 5.261
Zn -1.985 0.282 2.140
```


Record 13
The following is a PBE-GGA calculation of an optimized crystal structure of MgTa2Zn, from Alexandria via LeMat-Bulk.

## Properties
The energy above the lowest structure with this stoichiometry is 0.415 eV per atom. Its symmetry is No. 225.

The structure in extended XYZ format:
```
4
Lattice="-3.855 -1.492 -2.017 -4.076 0.735 2.001 -2.951 3.014 -1.833" Properties=species:S:1:pos:R:3 pbc="T T T"
Zn -5.441 1.128 -0.925
Mg 0.000 0.000 0.000
Ta -2.720 0.564 -0.462
Ta -8.161 1.693 -1.387
```


Record 14
The following is a PBE-GGA calculation of an optimized crystal structure of Mg3TaZn, from Alexandria via LeMat-Bulk.

## Properties
The energy above the lowest structure with this stoichiometry is 0.000 eV per atom. Its symmetry is No. 221.

The structure in extended XYZ format:
```
5
Lattice="4.770 0.000 0.000 0.000 4.770 0.000 0.000 0.000 4.770" Properties=species:S:1:pos:R:3 pbc="T T T"
Zn 0.000 0.000 0.000
Mg 0.000 2.385 0.000
Mg 0.000 0.000 2.385
Mg 2.385 0.000 0.000
Ta 2.385 2.385 2.385
```


Record 15
The following is a PBE-GGA calculation of an optimized crystal structure of MgTaZn2, from Alexandria via LeMat-Bulk.

## Properties
Its symmetry is No. 8.

The structure in extended XYZ format:
```
4
Lattice="5.372 -0.004 0.030 4.658 2.677 0.030 1.716 0.457 4.662" Properties=species:S:1:pos:R:3 pbc="T T T"
Mg 5.884 1.568 2.664
Ta 2.930 0.781 0.832
Zn 0.235 0.063 0.313
Zn 8.569 2.284 3.274
```


Record 16
The following is a PBE-GGA calculation of an optimized crystal structure of MgTaZn3, from Alexandria via LeMat-Bulk.

## Properties
The energy above the lowest structure with this stoichiometry is 0.000 eV per atom. Its symmetry is No. 221.

The structure in extended XYZ format:
```
5
Lattice="5.017 0.000 0.000 0.000 5.017 0.000 0.000 0.000 5.017" Properties=species:S:1:pos:R:3 pbc="T T T"
Zn 0.000 2.509 0.000
Zn 0.000 0.000 2.509
Zn 2.509 0.000 0.000
Mg 2.509 2.509 2.509
Ta 0.000 0.000 0.000
```


Record 17
The following is a PBE-GGA calculation of an optimized crystal structure of MgTa2Zn, from Alexandria via LeMat-Bulk.

## Properties
The energy above the lowest structure with this stoichiometry is 0.208 eV per atom. Its symmetry is No. 119.

The structure in extended XYZ format:
```
4
Lattice="-0.687 4.651 -2.186 -4.818 0.783 -1.747 2.014 -1.642 4.487" Properties=species:S:1:pos:R:3 pbc="T T T"
Mg -0.713 2.863 0.167
Ta 0.000 0.000 0.000
Ta -2.779 0.929 0.387
Zn -2.753 2.717 -1.966
```


Record 18
The following is a PBE-GGA calculation of an optimized crystal structure of MgTaZn2, from Alexandria via LeMat-Bulk.

## Properties
Its symmetry is No. 166.

The structure in extended XYZ format:
```
4
Lattice="-6.124 5.900 -4.343 -7.967 3.709 -3.737 -7.419 5.760 -1.723" Properties=species:S:1:pos:R:3 pbc="T T T"
Mg -16.133 11.527 -7.352
Ta -5.378 3.842 -2.451
Zn -21.483 15.350 -9.791
Zn -10.782 7.703 -4.914
```


Record 19
The following is a PBE-GGA calculation of an optimized crystal structure of MgTa2Zn, from Alexandria via LeMat-Bulk.

## Properties
The energy above the lowest structure with this stoichiometry is 0.198 eV per atom. Its symmetry is No. 166.

The structure in extended XYZ format:
```
4
Lattice="10.082 0.013 0.008 9.663 2.878 0.008 9.663 1.415 2.506" Properties=species:S:1:pos:R:3 pbc="T T T"
Mg 22.056 3.229 1.891
Ta 29.288 4.288 2.511
Ta 14.825 2.170 1.271
Zn 7.352 1.076 0.630
```


Record 20
The following is a PBE-GGA calculation of an optimized crystal structure of MgTa2Zn, from Alexandria via LeMat-Bulk.

## Properties
The energy above the lowest structure with this stoichiometry is 0.000 eV per atom. Its symmetry is No. 35.

The structure in extended XYZ format:
```
4
Lattice="-2.194 0.934 1.555 -0.332 -2.826 0.089 5.139 -0.368 7.476" Properties=species:S:1:pos:R:3 pbc="T T T"
Mg 2.528 -1.217 6.337
Ta 0.050 -0.004 0.073
Ta 0.060 -1.041 2.746
Zn 2.544 -0.182 3.701
```


| no. | energy of formation from the pure elements (eV per atom) |
| --- | --- |
| 1 | 2.186 |
| 2 | 0.713 |
| 3 | 0.408 |
| 4 | 0.388 |
| 5 | 0.355 |
| 6 | 1.543 |
| 7 | 1.153 |
| 8 | 0.177 |
| 9 | 0.211 |
| 10 | 0.201 |
| 11 | 0.080 |
| 12 | 0.188 |
| 13 | 0.478 |
| 14 | 0.903 |
| 15 | 0.091 |
| 16 | 0.979 |
| 17 | 0.271 |
| 18 | 0.119 |
| 19 | 0.261 |
| 20 | 0.063 |